## CuBi2W (PBE)

Data for a relaxed structure of CuBi2W.

Computed properties:
VASP energy, eV per atom: -5.018
ρ, g/cm³: 12.6
Calculated volume, Å³ per cell: 88
Crystal system: cubic
Space group: F-43m

abc: 4.9838 4.9838 4.9838
angles: 60.00 60.00 60.00
Element x y z (fractional)
Cu  0.0000  0.0000  0.0000
Bi  0.2500  0.2500  0.2500
Bi  0.5000  0.5000  0.5000
W  0.7500  0.7500  0.7500